Entry 1:
# PmSiPd2, relaxed, DFT GGA-PBE
# total energy: -5.65 eV/atom
# formation energy (no corrections): -49.0 kJ per mole of atoms
data_PmSiPd2
_chemical_formula_sum 'Pm1 Si1 Pd2'
_cell_length_a 3.1396
_cell_length_b 3.1396
_cell_length_c 7.2855
_cell_angle_alpha 90.00
_cell_angle_beta 90.00
_cell_angle_gamma 90.00
_space_group_name_H-M_alt 'P 4/m m m'
_space_group_IT_number 123
_space_group_name_Hall '-P 4 2'
loop_
_atom_site_label
_atom_site_type_symbol
_atom_site_fract_x
_atom_site_fract_y
_atom_site_fract_z
Pm1 Pm 0.0000 0.0000 0.0000
Si1 Si 0.0000 0.0000 0.5000
Pd1 Pd 0.5000 0.5000 0.3100



Entry 2:
# Pm12Si7Pd, relaxed, DFT GGA-PBE
# total energy: -5.47 eV/atom
# formation energy (no corrections): -44.4 kJ per mole of atoms
data_Pm12Si7Pd
_chemical_formula_sum 'Pm36 Si21 Pd3'
_cell_length_a 14.5528
_cell_length_b 14.5528
_cell_length_c 9.0079
_cell_angle_alpha 90.00
_cell_angle_beta 90.00
_cell_angle_gamma 120.00
_space_group_name_H-M_alt 'R -3'
_space_group_IT_number 148
_space_group_name_Hall '-R 3'
loop_
_atom_site_label
_atom_site_type_symbol
_atom_site_fract_x
_atom_site_fract_y
_atom_site_fract_z
Pm1 Pm 0.0312 0.5868 0.3145
Pm2 Pm 0.0452 0.8696 0.2710
Si1 Si 0.0000 0.0000 0.5000
Si2 Si 0.0466 0.8621 0.9305
Pd1 Pd 0.0000 0.0000 0.0000



Entry 3:
# Pm4Si5Pd3, relaxed, DFT GGA-PBE
# total energy: -5.85 eV/atom
# formation energy (no corrections): -68.1 kJ per mole of atoms
data_Pm4Si5Pd3
_chemical_formula_sum 'Pm8 Si10 Pd6'
_cell_length_a 11.3022
_cell_length_b 4.5600
_cell_length_c 10.8653
_cell_angle_alpha 90.00
_cell_angle_beta 118.82
_cell_angle_gamma 90.00
_space_group_name_H-M_alt 'C 1 2/m 1'
_space_group_IT_number 12
loop_
_space_group_symop_operation_xyz
'x,y,z'
'-x,-y,-z'
'-x,y,-z'
'x,-y,z'
'x+1/2,y+1/2,z'
'-x+1/2,-y+1/2,-z'
'-x+1/2,y+1/2,-z'
'x+1/2,-y+1/2,z'
loop_
_atom_site_label
_atom_site_type_symbol
_atom_site_fract_x
_atom_site_fract_y
_atom_site_fract_z
Pm1 Pm 0.1396 0.0000 0.4961
Pm2 Pm 0.1640 0.0000 0.8457
Si1 Si 0.0000 0.0000 0.0000
Si2 Si 0.0712 0.5000 0.6357
Si3 Si 0.0786 0.5000 0.2601
Pd1 Pd 0.0000 0.5000 0.0000
Pd2 Pd 0.1776 0.0000 0.2436



Entry 4:
# PmSi2Pd, relaxed, DFT GGA-PBE
# total energy: -6.03 eV/atom
# formation energy (no corrections): -80.7 kJ per mole of atoms
data_PmSi2Pd
_chemical_formula_sum 'Pm8 Si16 Pd8'
_cell_length_a 13.6210
_cell_length_b 4.1323
_cell_length_c 10.6668
_cell_angle_alpha 90.00
_cell_angle_beta 90.00
_cell_angle_gamma 90.00
_space_group_name_H-M_alt 'P n m a'
_space_group_IT_number 62
loop_
_space_group_symop_operation_xyz
'x,y,z'
'-x,-y,-z'
'-x+1/2,-y,z+1/2'
'x+1/2,y,-z+1/2'
'x+1/2,-y+1/2,-z+1/2'
'-x+1/2,y+1/2,z+1/2'
'-x,y+1/2,-z'
'x,-y+1/2,z'
loop_
_atom_site_label
_atom_site_type_symbol
_atom_site_fract_x
_atom_site_fract_y
_atom_site_fract_z
Pm1 Pm 0.0510 0.2500 0.2471
Pm2 Pm 0.1998 0.7500 0.9799
Si1 Si 0.0294 0.2500 0.9573
Si2 Si 0.1159 0.2500 0.7678
Si3 Si 0.1245 0.7500 0.4659
Si4 Si 0.2107 0.7500 0.2729
Pd1 Pd 0.0590 0.2500 0.5561
Pd2 Pd 0.2034 0.7500 0.6841



Entry 5:
# Pm2SiPd3, relaxed, DFT GGA-PBE
# total energy: -5.90 eV/atom
# formation energy (no corrections): -79.1 kJ per mole of atoms
data_Pm2SiPd3
_chemical_formula_sum 'Pm16 Si8 Pd24'
_cell_length_a 7.5813
_cell_length_b 8.7562
_cell_length_c 15.4244
_cell_angle_alpha 90.00
_cell_angle_beta 90.00
_cell_angle_gamma 90.00
_space_group_name_H-M_alt 'F m m m'
_space_group_IT_number 69
_space_group_name_Hall '-F 2 2'
loop_
_atom_site_label
_atom_site_type_symbol
_atom_site_fract_x
_atom_site_fract_y
_atom_site_fract_z
Pm1 Pm 0.2468 0.0000 0.0000
Pm2 Pm 0.2500 0.2500 0.2500
Si1 Si 0.0000 0.0000 0.3334
Pd1 Pd 0.0000 0.0000 0.1776
Pd2 Pd 0.0000 0.2339 0.4126



Entry 6:
# Pm7Si2Pd2, relaxed, DFT GGA-PBE
# total energy: -5.26 eV/atom
# formation energy (no corrections): -29.2 kJ per mole of atoms
data_Pm7Si2Pd2
_chemical_formula_sum 'Pm14 Si4 Pd4'
_cell_length_a 7.9233
_cell_length_b 11.1023
_cell_length_c 7.0596
_cell_angle_alpha 90.00
_cell_angle_beta 90.00
_cell_angle_gamma 90.00
_space_group_name_H-M_alt 'C m m m'
_space_group_IT_number 65
_space_group_name_Hall '-C 2 2'
loop_
_atom_site_label
_atom_site_type_symbol
_atom_site_fract_x
_atom_site_fract_y
_atom_site_fract_z
Pm1 Pm 0.0000 0.0000 0.0000
Pm2 Pm 0.0000 0.5000 0.2615
Pm3 Pm 0.2500 0.2500 0.2763
Si1 Si 0.1568 0.0000 0.5000
Pd1 Pd 0.0000 0.2874 0.0000



Entry 7:
# PmSiPd4, relaxed, DFT GGA-PBE
# total energy: -5.90 eV/atom
# formation energy (no corrections): -72.1 kJ per mole of atoms
data_PmSiPd4
_chemical_formula_sum 'Pm2 Si2 Pd8'
_cell_length_a 7.7913
_cell_length_b 3.8705
_cell_length_c 6.9965
_cell_angle_alpha 90.00
_cell_angle_beta 90.00
_cell_angle_gamma 90.00
_space_group_name_H-M_alt 'P m m a'
_space_group_IT_number 51
loop_
_space_group_symop_operation_xyz
'x,y,z'
'-x,-y,-z'
'-x+1/2,-y,z'
'x+1/2,y,-z'
'x+1/2,-y,-z'
'-x+1/2,y,z'
'-x,y,-z'
'x,-y,z'
loop_
_atom_site_label
_atom_site_type_symbol
_atom_site_fract_x
_atom_site_fract_y
_atom_site_fract_z
Pm1 Pm 0.2500 0.0000 0.1315
Si1 Si 0.2500 0.0000 0.7020
Pd1 Pd 0.0000 0.0000 0.5000
Pd2 Pd 0.0637 0.5000 0.8054
Pd3 Pd 0.2500 0.5000 0.4533



Entry 8:
# Pm3Si4Pd4, relaxed, DFT GGA-PBE
# total energy: -6.10 eV/atom
# formation energy (no corrections): -90.9 kJ per mole of atoms
data_Pm3Si4Pd4
_chemical_formula_sum 'Pm6 Si8 Pd8'
_cell_length_a 4.1338
_cell_length_b 4.2430
_cell_length_c 24.5990
_cell_angle_alpha 90.00
_cell_angle_beta 90.00
_cell_angle_gamma 90.00
_space_group_name_H-M_alt 'I m m m'
_space_group_IT_number 71
_space_group_name_Hall '-I 2 2'
loop_
_atom_site_label
_atom_site_type_symbol
_atom_site_fract_x
_atom_site_fract_y
_atom_site_fract_z
Pm1 Pm 0.0000 0.0000 0.0000
Pm2 Pm 0.0000 0.5000 0.1466
Si1 Si 0.0000 0.0000 0.4517
Si2 Si 0.0000 0.5000 0.3043
Pd1 Pd 0.0000 0.0000 0.2493
Pd2 Pd 0.0000 0.5000 0.4031